A relaxed C crystal, computed with PBE-GGA.

a b c (Å): 2.5133 2.5133 4.1824
angles (deg): 90.00 90.00 120.00
Fractional positions:
C 0.3333 0.6667 0.0627
C 0.6667 0.3333 0.9373
C 0.3333 0.6667 0.4373
C 0.6667 0.3333 0.5627

Summary:
DFT formation energy: 159 meV/atom
Relative energy among the computed polymorphs: 15 kJ/mol of formula units